No. 1
Tb3Dy7Y2 | PBE | optimized geometry

Cell and atoms, written as extended XYZ:
```
12
Lattice="-3.2714 0.8007 1.2184 -2.2920 -3.4885 -3.8615 2.2228 -12.5879 14.2396" Properties=species:S:1:pos:R:3 pbc="T T T"
Dy -0.5669 -9.4529 4.6896
Dy 0.0000 0.0000 0.0000
Tb -0.9581 -8.6188 8.3550
Dy -1.4814 -1.6530 2.3726
Tb -2.7817 -1.3439 -1.3215
Dy -1.8592 -13.6228 9.2239
Dy 0.4976 -6.6236 5.6885
Tb -2.3825 -6.6570 3.2415
Dy 0.8792 -11.7025 10.0504
Y 0.3176 -4.2270 3.6302
Dy -0.9485 -4.3740 0.3277
Y -0.3868 -11.8494 6.7479
```

Output
- N(E_F) (states/eV/cell) = 18.63
- spin magnetization (Bohr magnetons per cell) = 0.0
- relative energy among the computed polymorphs (meV/atom) = 32

=====

No. 2
Tb2Dy7Y | PBE | optimized geometry

Cell and atoms, written as extended XYZ:
```
10
Lattice="-0.2886 -1.0349 -5.1151 -0.6069 -9.3822 1.9324 -7.3467 6.1217 -0.8240" Properties=species:S:1:pos:R:3 pbc="T T T"
Y 0.0000 0.0000 0.0000
Dy -7.4103 -1.5018 -1.9484
Dy -4.1211 -2.1477 -2.0033
Dy -0.8319 -2.7935 -2.0582
Tb -2.7598 -5.2791 -1.4466
Dy -1.9395 -6.3167 1.3874
Dy -5.9387 -4.8870 -1.3466
Dy -6.0141 3.0562 -0.2790
Dy -2.3035 0.5916 -2.6601
Tb -5.4824 0.9837 -2.5601
```

Output
- N(E_F) (states/eV/cell) = 12.44
- spin magnetization (Bohr magnetons per cell) = 0.0
- relative energy among the computed polymorphs (meV/atom) = 673

=====

No. 3
Tb3Dy5Y4 | PBE | optimized geometry

Cell and atoms, written as extended XYZ:
```
12
Lattice="5.8844 0.0000 0.0000 2.9422 7.5701 -2.6259 2.9422 -0.9119 9.1000" Properties=species:S:1:pos:R:3 pbc="T T T"
Y 8.8266 6.8722 0.9414
Dy 2.9422 0.2042 1.6796
Y 5.8844 5.0325 6.5017
Dy 8.8266 3.2847 6.6429
Dy 2.9422 3.3734 -0.1688
Y 5.8844 1.6256 -0.0277
Tb 5.8844 1.7102 5.8399
Y 2.9422 -0.2141 5.5327
Dy 8.8266 6.4540 4.7945
Dy 5.8844 3.3291 3.2370
Tb 2.9422 3.3291 3.2370
Tb 5.8844 4.9480 0.6342
```

Output
- N(E_F) (states/eV/cell) = 20.04
- spin magnetization (Bohr magnetons per cell) = 0.4
- relative energy among the computed polymorphs (meV/atom) = 215

=====

No. 4
TbDy3Y2 | PBE | optimized geometry

Cell and atoms, written as extended XYZ:
```
12
Lattice="7.1749 0.0000 0.0000 0.0000 6.2071 -0.1886 -3.5874 -1.8075 8.6408" Properties=species:S:1:pos:R:3 pbc="T T T"
Dy 2.6921 1.7299 5.6719
Y 4.4850 2.6800 2.7903
Dy 4.4827 4.8334 5.5776
Dy 6.2809 1.5518 -0.0471
Y 2.6899 -0.4235 2.8846
Dy 0.8953 2.6696 2.7804
Y 0.8976 4.8230 5.5677
Tb 4.4888 4.6553 -0.1414
Y -0.8976 1.7195 5.6620
Tb 2.6861 1.5518 -0.0471
Dy -0.8953 -0.4339 2.8747
Dy 0.8940 4.6553 -0.1414
```

Output
- N(E_F) (states/eV/cell) = 16.44
- spin magnetization (Bohr magnetons per cell) = 0.0
- electronic total energy (eV/cell) = -62.734

=====

No. 5
Tb4Dy3Y8 | PBE | optimized geometry

Cell and atoms, written as extended XYZ:
```
15
Lattice="-6.4557 2.5099 0.6482 -4.7967 -3.6057 3.5193 -0.6182 5.1341 11.2931" Properties=species:S:1:pos:R:3 pbc="T T T"
Y -5.3596 -0.7962 5.6306
Tb -7.4757 -0.6851 2.8602
Y -2.9232 1.0877 4.0059
Y -5.6784 1.7653 11.2709
Dy -2.7075 0.7642 7.4062
Y -8.5994 0.4634 5.9559
Y -8.9474 2.9506 11.4548
Tb -5.9353 2.0191 7.7303
Y -6.5110 4.8345 9.8301
Tb -4.3949 4.7234 12.6005
Y -6.1922 2.2730 4.1897
Dy -3.5369 3.8220 5.9706
Y -3.2712 3.5749 9.5047
Dy -0.3091 2.5671 5.6465
Tb 0.0000 0.0000 0.0000
```

Output
- N(E_F) (states/eV/cell) = 24.05
- spin magnetization (Bohr magnetons per cell) = 0.0
- relative energy among the computed polymorphs (meV/atom) = 0

=====

No. 6
Tb4Dy3Y4 | PBE | optimized geometry

Cell and atoms, written as extended XYZ:
```
11
Lattice="-3.4296 0.8263 -0.1874 -2.5305 -10.8586 -1.5662 2.2145 3.8898 9.9236" Properties=species:S:1:pos:R:3 pbc="T T T"
Tb -1.1178 -3.3723 5.5896
Tb -2.6279 -2.7702 2.5805
Y -2.2450 -1.8618 -0.4218
Tb 0.1076 1.8860 6.3480
Y -1.6059 -5.9305 3.2422
Dy -1.2653 -5.4293 -0.7831
Dy -3.5826 -5.9025 6.2422
Y -3.7152 -8.1705 -1.3317
Y -2.1398 -0.2121 4.9279
Tb -3.8533 -8.0286 1.8221
Dy -0.1632 -0.2400 1.9279
```

Output
- N(E_F) (states/eV/cell) = 15.76
- spin magnetization (Bohr magnetons per cell) = 0.0
- relative energy among the computed polymorphs (meV/atom) = 132

=====

No. 7
Tb8Dy3Y4 | PBE | optimized geometry

Cell and atoms, written as extended XYZ:
```
15
Lattice="6.7773 -0.0737 -0.1059 -3.2663 8.5724 1.1513 -3.2663 -1.8962 8.4390" Properties=species:S:1:pos:R:3 pbc="T T T"
Tb -3.2663 1.8486 5.8320
Y -1.6331 4.2862 0.5756
Y 0.0000 0.0000 0.0000
Tb 0.1223 5.8755 2.9501
Dy 1.7555 4.2493 0.5227
Y -1.6331 -0.9481 4.2195
Tb -3.2663 4.8276 3.7582
Dy 0.1223 3.3012 4.7421
Tb -1.6807 1.7989 2.5841
Tb 0.1223 0.7270 6.5342
Tb 1.9253 4.8035 6.9002
Tb 1.8740 1.7639 2.5338
Tb -1.6294 4.8385 6.9505
Y 3.3886 -0.0369 -0.0530
Dy 1.7555 -0.9850 4.1665
```

Output
- N(E_F) (states/eV/cell) = 29.50
- spin magnetization (Bohr magnetons per cell) = 0.3
- relative energy among the computed polymorphs (meV/atom) = 256

=====

No. 8
TbDy4Y7 | PBE | optimized geometry

Cell and atoms, written as extended XYZ:
```
12
Lattice="5.8669 0.0000 0.0000 2.9335 11.2489 -0.3178 2.9335 0.2186 6.0331" Properties=species:S:1:pos:R:3 pbc="T T T"
Y 8.8004 10.4955 2.7182
Dy 5.8669 2.6371 2.9220
Tb 0.0000 0.0000 0.0000
Y 2.9335 0.0000 0.0000
Dy 2.9335 3.6592 1.0965
Dy 5.8669 8.8304 2.7932
Y 2.9335 0.9720 2.9970
Y 5.8669 5.7906 4.4717
Dy 8.8004 7.8083 4.6188
Y 2.9335 7.7025 0.9534
Y 8.8004 3.7650 4.7618
Y 5.8669 5.6769 1.2436
```

Output
- N(E_F) (states/eV/cell) = 21.74
- spin magnetization (Bohr magnetons per cell) = 0.4
- relative energy among the computed polymorphs (meV/atom) = 206